Entry 1:
PBE BeZn2Si, optimized geometry; volume = 13.958 A^3/atom; DOS at the Fermi energy = 0.703 states/eV per cell; raw total energy = -2.5960 eV/atom; space-group type = No. 47; total moment = 0.00 μB/f.u.
1.0
2.450 0.000 0.000
0.000 4.732 0.000
0.000 0.000 4.815
Be Zn Si
1 2 1
Direct
0.000 0.000 0.000 Be
0.000 0.500 0.500 Zn
0.500 0.000 0.500 Zn
0.500 0.500 0.000 Si

Entry 2:
PBE KLiFe2, optimized geometry; volume = 17.527 A^3/atom; energy of formation = 0.952 eV per atom; DOS at the Fermi energy = 4.525 states/eV per cell; space-group type = No. 12; distance to the lowest polymorph of the same formula = 0.408 eV per atom; total moment = 5.17 μB/f.u.
1.0
2.598 -5.373 0.000
2.598 5.373 0.000
-1.187 0.000 2.511
K Li Fe
1 1 2
Direct
0.000 0.000 0.000 K
0.500 0.500 0.000 Li
0.000 0.500 0.500 Fe
0.500 0.000 0.500 Fe